First-principles (PBE-GGA) data for an optimized crystal structure of KAcCdI6, as listed in Alexandria.

Results
uncorrected formation energy = -10.669 eV/f.u.
symmetry = No. 163
VASP energy = -52.2 eV per cell
crystal system = trigonal

Unit cell a=8.124 b=8.124 c=15.543 alpha=90.00 beta=90.00 gamma=120.00
Fractional coordinates of all 18 atoms:
I: 0.352 0.374 0.867
I: 0.374 0.022 0.133
K: 0.000 0.000 0.500
I: 0.352 0.978 0.633
I: 0.022 0.374 0.633
I: 0.648 0.626 0.133
Ac: 0.667 0.333 0.750
I: 0.626 0.648 0.633
I: 0.374 0.352 0.367
I: 0.022 0.648 0.867
I: 0.626 0.978 0.867
I: 0.978 0.352 0.133
Cd: 0.667 0.333 0.250
I: 0.978 0.626 0.367
Cd: 0.333 0.667 0.750
I: 0.648 0.022 0.367
K: 0.000 0.000 0.000
Ac: 0.333 0.667 0.250


First-principles (PBE-GGA) data for an optimized crystal structure of La4GeI4, as listed in Alexandria.

Results
uncorrected formation energy = -7.412 eV/f.u.
symmetry = No. 121
VASP energy = -37.9 eV per cell
crystal system = tetragonal

Unit cell a=7.659 b=7.659 c=8.314 alpha=117.42 beta=117.42 gamma=90.00
Fractional coordinates of all 9 atoms:
I: 0.000 0.500 0.000
Ge: 0.000 0.000 0.000
La: 0.053 0.053 0.710
La: 0.343 0.947 0.290
La: 0.657 0.657 0.710
La: 0.947 0.343 0.290
I: 0.342 0.342 0.684
I: 0.500 0.000 0.000
I: 0.658 0.658 0.316


First-principles (PBE-GGA) data for an optimized crystal structure of Y3C4, as listed in Alexandria.

Results
energy of formation = -0.079 kcal/mol of atoms
symmetry = No. 139
VASP energy = -56.3 eV per cell
crystal system = tetragonal

Unit cell a=8.840 b=8.840 c=8.840 alpha=156.47 beta=156.47 gamma=33.52
Fractional coordinates of all 7 atoms:
C: 0.168 0.168 0.000
C: 0.832 0.832 0.000
Y: 0.000 0.000 0.000
Y: 0.676 0.676 0.000
C: 0.462 0.462 0.000
Y: 0.324 0.324 0.000
C: 0.538 0.538 0.000


First-principles (PBE-GGA) data for an optimized crystal structure of Ho10Sn3Sb3, as listed in Alexandria.

Results
uncorrected formation energy = -13.081 eV/f.u.
symmetry = No. 189
VASP energy = -83.2 eV per cell
crystal system = hexagonal

Unit cell a=6.399 b=8.929 c=8.929 alpha=120.00 beta=90.00 gamma=90.00
Fractional coordinates of all 16 atoms:
Ho: 0.000 0.000 0.241
Sb: 0.500 0.608 0.608
Ho: 0.000 0.241 0.000
Ho: 0.500 0.758 0.000
Sn: 0.000 0.000 0.607
Sb: 0.500 0.000 0.392
Ho: 0.250 0.667 0.333
Ho: 0.750 0.667 0.333
Sn: 0.000 0.607 0.000
Ho: 0.500 0.000 0.758
Ho: 0.750 0.333 0.667
Sb: 0.500 0.392 0.000
Ho: 0.500 0.242 0.242
Ho: 0.000 0.759 0.759
Sn: 0.000 0.393 0.393
Ho: 0.250 0.333 0.667


First-principles (PBE-GGA) data for an optimized crystal structure of Pu2UTiP4, as listed in Alexandria.

Results
energy of formation = -24.866 kcal/mol of atoms
symmetry = No. 10
VASP energy = -78.1 eV per cell
crystal system = monoclinic

Unit cell a=3.863 b=6.700 c=6.673 alpha=109.07 beta=90.00 gamma=90.00
Last column: magnetic moment on the atom in μB.
Fractional coordinates of all 8 atoms:
P: 0.000 0.761 0.235  -0.09
Pu: 0.000 0.500 0.500  5.11
Pu: 0.500 0.000 0.500  4.93
P: 0.500 0.769 0.772  -0.08
P: 0.000 0.239 0.765  -0.09
U: 0.500 0.500 0.000  1.72
P: 0.500 0.231 0.228  -0.08
Ti: 0.000 0.000 0.000  0.12


First-principles (PBE-GGA) data for an optimized crystal structure of PmDy3Al8, as listed in Alexandria.

Results
energy of formation = -11.846 kcal/mol of atoms
symmetry = No. 160
VASP energy = -54.7 eV per cell
crystal system = trigonal

Unit cell a=5.577 b=5.577 c=9.703 alpha=73.30 beta=73.30 gamma=60.00
Fractional coordinates of all 12 atoms:
Al: 0.438 0.438 0.185
Al: 0.187 0.187 0.438
Dy: 0.500 0.500 0.501
Al: 0.688 0.688 0.937
Al: 0.937 0.436 0.689
Pm: 0.875 0.875 0.375
Dy: 0.375 0.375 0.874
Al: 0.939 0.438 0.185
Al: 0.937 0.937 0.689
Al: 0.438 0.939 0.185
Al: 0.436 0.937 0.689
Dy: 0.000 0.000 0.000


First-principles (PBE-GGA) data for an optimized crystal structure of SrAl2CdAg4, as listed in Alexandria.

Results
energy of formation = -2.331 kcal/mol of atoms
symmetry = No. 166
VASP energy = -22.3 eV per cell
crystal system = trigonal

Unit cell a=4.533 b=4.533 c=10.185 alpha=77.14 beta=77.14 gamma=60.00
Fractional coordinates of all 8 atoms:
Ag: 0.879 0.879 0.363
Ag: 0.121 0.121 0.637
Ag: 0.595 0.595 0.215
Ag: 0.405 0.405 0.785
Al: 0.245 0.245 0.266
Sr: 0.000 0.000 0.000
Al: 0.755 0.755 0.734
Cd: 0.500 0.500 0.500


First-principles (PBE-GGA) data for an optimized crystal structure of La2SiP, as listed in Alexandria.

Results
uncorrected formation energy = -2.823 eV/f.u.
symmetry = No. 122
VASP energy = -47.0 eV per cell
crystal system = tetragonal

Unit cell a=7.858 b=7.858 c=6.673 alpha=53.93 beta=53.93 gamma=90.00
Fractional coordinates of all 8 atoms:
Si: 0.500 0.500 0.000
La: 0.113 0.625 0.250
P: 0.000 0.000 0.000
La: 0.375 0.363 0.750
Si: 0.250 0.750 0.500
La: 0.637 0.125 0.250
P: 0.750 0.250 0.500
La: 0.875 0.887 0.750


First-principles (PBE-GGA) data for an optimized crystal structure of TbDyYIn, as listed in Alexandria.

Results
energy of formation = -3.098 kcal/mol of atoms
symmetry = No. 216
VASP energy = -19.0 eV per cell
crystal system = cubic

Unit cell a=5.459 b=5.459 c=5.459 alpha=60.00 beta=60.00 gamma=60.00
Last column: magnetic moment on the atom in μB.
Fractional coordinates of all 4 atoms:
In: 0.000 0.000 0.000  0.00
Y: 0.750 0.750 0.750  0.22
Tb: 0.250 0.250 0.250  0.27
Dy: 0.500 0.500 0.500  0.37


First-principles (PBE-GGA) data for an optimized crystal structure of Tb2HoCu, as listed in Alexandria.

Results
energy of formation = 0.836 kcal/mol of atoms
symmetry = No. 166
VASP energy = -17.8 eV per cell
crystal system = trigonal

Unit cell a=3.569 b=3.569 c=10.150 alpha=79.87 beta=79.87 gamma=60.00
Fractional coordinates of all 4 atoms:
Tb: 0.736 0.736 0.793
Tb: 0.264 0.264 0.207
Ho: 0.500 0.500 0.500
Cu: 0.000 0.000 0.000


First-principles (PBE-GGA) data for an optimized crystal structure of SiRu2Br, as listed in Alexandria.

Results
uncorrected formation energy = 2.559 eV/f.u.
symmetry = No. 35
VASP energy = -23.1 eV per cell
crystal system = orthorhombic

Unit cell a=2.876 b=2.876 c=9.684 alpha=90.00 beta=90.00 gamma=119.98
Fractional coordinates of all 4 atoms:
Ru: 0.500 0.500 0.245
Ru: 0.000 0.000 0.016
Br: 0.500 0.500 0.792
Si: 0.000 0.000 0.447


First-principles (PBE-GGA) data for an optimized crystal structure of Nd2GaCu5, as listed in Alexandria.

Results
energy of formation = -5.489 kcal/mol of atoms
symmetry = No. 63
VASP energy = -69.9 eV per cell
crystal system = orthorhombic

Unit cell a=4.261 b=8.077 c=8.852 alpha=90.00 beta=90.00 gamma=105.29
Fractional coordinates of all 16 atoms:
Cu: 0.178 0.355 0.612
Cu: 0.345 0.689 0.520
Cu: 0.822 0.645 0.112
Cu: 0.655 0.311 0.020
Cu: 0.178 0.355 0.888
Cu: 0.402 0.803 0.250
Nd: 0.000 0.000 0.500
Ga: 0.561 0.122 0.250
Cu: 0.598 0.197 0.750
Ga: 0.439 0.878 0.750
Nd: 0.790 0.579 0.750
Cu: 0.822 0.645 0.388
Cu: 0.345 0.689 0.980
Nd: 0.000 0.000 0.000
Cu: 0.655 0.311 0.480
Nd: 0.210 0.421 0.250


Number 4 is which compound?
Ho10Sn3Sb3


Number 11 is which compound?
SiRu2Br


Please write out number 8 again, unchanged.
First-principles (PBE-GGA) data for an optimized crystal structure of La2SiP, as listed in Alexandria.

Results
uncorrected formation energy = -2.823 eV/f.u.
symmetry = No. 122
VASP energy = -47.0 eV per cell
crystal system = tetragonal

Unit cell a=7.858 b=7.858 c=6.673 alpha=53.93 beta=53.93 gamma=90.00
Fractional coordinates of all 8 atoms:
Si: 0.500 0.500 0.000
La: 0.113 0.625 0.250
P: 0.000 0.000 0.000
La: 0.375 0.363 0.750
Si: 0.250 0.750 0.500
La: 0.637 0.125 0.250
P: 0.750 0.250 0.500
La: 0.875 0.887 0.750